No. 1
Entry from Alexandria via LeMat-Bulk: crystalline KTaCl2 at its relaxed geometry (PBE).

Properties
E above lowest polymorph = 134 meV/atom
calculated volume = 94.0 Å³/cell
formation energy without anion corrections = -0.2956 eV/atom

Cell and atoms, written as extended XYZ:
```
4
Lattice="1.6387 0.9461 10.1004 -1.6387 0.9461 10.1004 0.0000 -1.8923 10.1004" Properties=species:S:1:pos:R:3 pbc="T T T"
K 0.0000 0.0000 0.0000
Ta 0.0000 0.0000 23.6653
Cl 0.0000 0.0000 7.9984
Cl 0.0000 0.0000 15.2086
```

=====

No. 2
Entry from Alexandria via LeMat-Bulk: crystalline LiYAl2 at its relaxed geometry (PBE).

Properties
E above lowest polymorph = 22 meV/atom
energy of formation = -0.26 eV per atom
calculated volume = 81.6 Å³/cell

Cell and atoms, written as extended XYZ:
```
4
Lattice="4.3934 0.0000 0.0000 0.0000 4.3934 0.0000 0.0000 0.0000 4.2286" Properties=species:S:1:pos:R:3 pbc="T T T"
Li 0.0000 0.0000 0.0000
Y 2.1967 2.1967 0.0000
Al 0.0000 2.1967 2.1143
Al 2.1967 0.0000 2.1143
```

=====

Please write out number 1 again, unchanged.
Entry from Alexandria via LeMat-Bulk: crystalline KTaCl2 at its relaxed geometry (PBE).

Properties
E above lowest polymorph = 134 meV/atom
calculated volume = 94.0 Å³/cell
formation energy without anion corrections = -0.2956 eV/atom

Cell and atoms, written as extended XYZ:
```
4
Lattice="1.6387 0.9461 10.1004 -1.6387 0.9461 10.1004 0.0000 -1.8923 10.1004" Properties=species:S:1:pos:R:3 pbc="T T T"
K 0.0000 0.0000 0.0000
Ta 0.0000 0.0000 23.6653
Cl 0.0000 0.0000 7.9984
Cl 0.0000 0.0000 15.2086
```